[1]
VASP calculation (GGA-PBE) on a relaxed ReICl4 crystal.

Geometry as extended XYZ:
```
12
Lattice="-1.758 -6.531 -8.156 -5.898 -9.162 8.211 -2.747 1.339 -0.480" Properties=species:S:1:pos:R:3 pbc="T T T"
Re 0.000 0.000 0.000
Re -4.323 -3.912 3.866
I -3.828 -7.847 0.028
I -2.253 -2.596 -4.318
Cl -2.148 -0.997 -0.455
Cl -3.933 -9.446 -3.835
Cl -3.892 -3.829 1.624
Cl -2.191 -6.613 -5.914
Cl -8.255 -13.357 0.030
Cl -6.471 -4.909 3.411
Cl -6.512 -10.526 -2.048
Cl -8.212 -7.742 5.489
```

The symmetry is C2/m. The formation energy from raw total energies is -0.370 eV per atom. As for the density of states at the Fermi level: 0.907 states/eV/atom. The density comes out at 3.4 g/cm3. The calculation puts the total moment at 2.8 Bohr magnetons per cell.


[2]
VASP calculation (GGA-PBE) on a relaxed Tb2Nd3Ag3 crystal.

Geometry as extended XYZ:
```
8
Lattice="3.683 0.000 -0.593 -0.204 5.266 -1.266 -0.034 -0.020 11.520" Properties=species:S:1:pos:R:3 pbc="T T T"
Tb 0.812 4.033 5.041
Tb 2.633 1.213 4.619
Nd 1.290 1.976 8.011
Nd 2.155 3.269 1.649
Nd 1.842 0.000 -0.297
Ag 3.033 4.615 7.102
Ag -0.102 2.633 -0.633
Ag 0.412 0.631 2.558
```

The symmetry is Immm. As for the density of states at the Fermi level: 1.058 states/eV/atom. The density comes out at 8.0 g/cm3. The formation energy comes out at -0.1888 eV/atom. The calculation puts the total moment at 0.0 Bohr magnetons per cell.


[3]
VASP calculation (GGA-PBE) on a relaxed Pt2AuBr crystal.

Geometry as extended XYZ:
```
4
Lattice="-0.166 0.379 4.636 -2.762 -2.819 2.468 1.861 -3.324 2.675" Properties=species:S:1:pos:R:3 pbc="T T T"
Au -0.533 -2.882 4.890
Br 0.000 0.000 0.000
Pt -0.267 -1.441 2.445
Pt -0.800 -4.323 7.334
```

The symmetry is Fm-3m. The formation energy from raw total energies is 0.620 eV per atom. As for the density of states at the Fermi level: 1.126 states/eV/atom. The density comes out at 15.5 g/cm3. The calculation puts the total moment at 0.0 Bohr magnetons per cell. The distance to the lowest polymorph of the same formula comes out at 361 meV/atom.


The highest density belongs to which entry?
Pt2AuBr


Which of these has the highest density?
Pt2AuBr